Version i
ZrTc3Sn | PBE | relaxed

Output
mass density = 7.475 Mg/m³

```
5
Lattice="4.820 0.000 0.000 0.000 4.820 0.000 0.000 0.000 4.820" Properties=species:S:1:pos:R:3 pbc="T T T"
Sn 2.410 2.410 2.410
Zr 0.000 0.000 0.000
Tc 0.000 2.410 0.000
Tc 0.000 0.000 2.410
Tc 2.410 0.000 0.000
```



Version ii
ZrTc3Sn | PBE | relaxed

Output
mass density = 7.565 Mg/m³

```
5
Lattice="-4.692 0.297 0.972 0.175 -4.287 2.152 1.001 2.138 4.180" Properties=species:S:1:pos:R:3 pbc="T T T"
Sn 0.000 0.000 0.000
Zr -1.758 -0.926 3.651
Tc 0.087 -2.144 1.076
Tc 0.500 1.069 2.090
Tc -2.346 0.148 0.486
```



Going by the energies, version ii is most stable and the next is 86 meV/atom up.



Version i
ZrTcSn | PBE | relaxed

Output
mass density = 8.887 Mg/m³

```
3
Lattice="-3.273 0.389 0.897 0.530 -1.925 2.771 2.557 4.802 0.742" Properties=species:S:1:pos:R:3 pbc="T T T"
Sn 0.702 2.391 1.527
Zr -1.124 0.072 2.371
Tc -0.306 2.858 4.150
```



Version ii
ZrTcSn | PBE | relaxed

Output
mass density = 8.085 Mg/m³

```
6
Lattice="-1.925 -1.605 -3.551 2.720 -3.390 0.058 -4.697 -0.886 5.606" Properties=species:S:1:pos:R:3 pbc="T T T"
Zr -1.133 -0.892 1.017
Zr -2.768 -4.989 1.095
Tc 1.360 -1.695 0.029
Tc -0.962 -0.803 -1.776
Sn -0.755 -3.404 -0.712
Sn -3.147 -2.477 2.825
```



Going by the energies, version ii is most stable and the next is 153 meV/atom up.



Version i
ZrTcSn2 | PBE | relaxed

Output
mass density = 8.933 Mg/m³

```
4
Lattice="0.000 3.410 3.410 3.410 0.000 3.410 3.410 3.410 0.000" Properties=species:S:1:pos:R:3 pbc="T T T"
Sn 1.705 1.705 1.705
Sn 5.115 5.115 5.115
Zr 0.000 0.000 0.000
Tc 3.410 3.410 3.410
```



Version ii
ZrTcSn2 | PBE | relaxed

Output
mass density = 8.085 Mg/m³

```
8
Lattice="-4.103 -0.106 0.438 0.443 -0.214 4.098 -2.035 10.110 2.827" Properties=species:S:1:pos:R:3 pbc="T T T"
Sn -3.040 2.434 1.495
Sn -0.722 2.381 3.320
Sn -2.901 7.464 3.799
Sn -4.726 7.302 6.111
Zr -1.830 -0.160 2.268
Zr -1.711 4.868 4.596
Tc 0.000 0.000 0.000
Tc -3.984 4.922 2.766
```



Going by the energies, version i is most stable and the next is 246 meV/atom up.



Version i
Sn3Te | PBE | relaxed

Output
mass density = 6.584 Mg/m³

```
4
Lattice="-1.025 3.706 2.186 -3.553 -2.006 1.734 3.431 -1.900 4.831" Properties=species:S:1:pos:R:3 pbc="T T T"
Te -2.953 -1.667 1.442
Sn -1.680 1.194 1.663
Sn 0.005 0.226 4.093
Sn -1.255 -2.628 3.866
```



Version ii
Sn3Te | PBE | relaxed

Output
mass density = 7.066 Mg/m³

```
4
Lattice="-1.539 -1.895 -3.072 4.569 0.406 -2.540 0.113 -4.074 4.964" Properties=species:S:1:pos:R:3 pbc="T T T"
Te 4.210 0.374 -2.340
Sn 2.716 -2.297 0.057
Sn 1.154 -0.777 -2.605
Sn -0.375 -3.338 -0.259
```



Version iii
Sn3Te | PBE | relaxed

Output
mass density = 6.964 Mg/m³

```
4
Lattice="-3.050 2.156 -3.121 -0.276 -4.121 -2.577 -3.783 -1.438 2.704" Properties=species:S:1:pos:R:3 pbc="T T T"
Te 0.000 0.000 0.000
Sn -1.663 -0.982 -2.849
Sn -3.417 0.359 -0.209
Sn -2.030 -2.779 0.064
```



Going by the energies, version i is most stable and the next is 91 meV/atom up.



Version i
Ti4SnTe8 | PBE | relaxed

Output
mass density = 5.607 Mg/m³

```
13
Lattice="6.953 0.000 3.171 2.754 6.385 3.171 0.116 0.077 8.954" Properties=species:S:1:pos:R:3 pbc="T T T"
Ti 1.377 3.193 1.586
Ti 4.854 3.192 3.171
Ti 3.477 0.000 1.586
Ti 0.000 0.000 0.000
Sn 4.912 3.231 7.648
Te 5.908 1.587 10.093
Te 6.027 1.665 5.203
Te 3.915 4.875 5.203
Te 7.411 4.875 6.798
Te 7.271 4.783 11.684
Te 2.553 1.679 3.612
Te 2.412 1.587 8.499
Te 3.797 4.797 10.093
```



Version ii
Ti4SnTe8 | PBE | relaxed

Output
mass density = 5.875 Mg/m³

```
13
Lattice="8.103 0.000 0.000 4.052 7.017 0.000 4.052 2.339 6.616" Properties=species:S:1:pos:R:3 pbc="T T T"
Ti 10.474 3.309 2.340
Ti 8.103 7.416 2.340
Ti 8.103 4.678 6.212
Ti 5.732 3.309 2.340
Sn 12.155 7.017 4.962
Te 6.175 1.113 0.787
Te 4.052 4.791 0.787
Te 4.052 2.339 4.254
Te 1.928 1.113 0.787
Te 6.361 5.684 4.019
Te 8.103 2.666 4.019
Te 8.103 4.678 1.174
Te 9.845 5.684 4.019
```



Going by the energies, version i is most stable and the next is 7 meV/atom up.



Version i
Tl3Sn2Te4 | PBE | relaxed

Output
mass density = 6.735 Mg/m³

```
18
Lattice="6.792 -0.405 -0.290 -0.090 9.973 -0.842 -0.090 2.416 9.712" Properties=species:S:1:pos:R:3 pbc="T T T"
Tl 6.443 10.049 1.068
Tl 3.566 7.532 -0.734
Tl 0.170 1.935 7.511
Tl 3.047 4.452 9.313
Tl 1.608 7.303 2.673
Tl 5.004 4.681 5.907
Sn 2.997 2.824 3.851
Sn 0.219 7.631 7.292
Sn 3.615 9.159 4.729
Sn 6.393 4.353 1.288
Te 3.100 10.234 1.660
Te 0.117 7.317 -0.428
Te 3.513 1.750 6.920
Te 6.496 4.666 9.008
Te 0.072 3.143 4.101
Te 3.144 7.291 7.071
Te 6.540 8.841 4.478
Te 3.468 4.693 1.509
```



Version ii
Tl3Sn2Te4 | PBE | relaxed

Output
mass density = 6.377 Mg/m³

```
18
Lattice="-2.967 7.072 5.554 0.630 -5.528 7.376 7.678 4.355 -3.178" Properties=species:S:1:pos:R:3 pbc="T T T"
Tl 5.815 0.141 4.480
Tl 0.910 3.097 1.328
Tl -0.474 5.758 5.272
Tl 4.431 2.802 8.424
Tl -1.920 2.624 7.741
Tl -0.417 -1.081 5.189
Sn 1.634 2.398 5.764
Sn 2.041 8.642 4.622
Sn 3.707 3.501 3.988
Sn 3.300 -2.743 5.129
Te 6.133 3.577 5.338
Te -1.930 2.819 11.245
Te -0.793 2.322 4.414
Te 7.271 3.080 -1.493
Te 1.273 4.336 7.946
Te 2.477 6.036 3.331
Te 4.067 1.563 1.805
Te 2.864 -0.137 6.421
```



Going by the energies, version i is most stable and the next is 21 meV/atom up.



Version i
Tl2Sn2Te | PBE | relaxed

Output
mass density = 8.125 Mg/m³

```
5
Lattice="4.415 0.000 0.000 0.000 4.415 0.000 2.208 2.208 8.112" Properties=species:S:1:pos:R:3 pbc="T T T"
Tl 4.415 2.208 4.056
Tl 2.208 4.415 4.056
Te 0.000 0.000 0.000
Sn 2.208 2.208 1.460
Sn 4.415 4.415 6.652
```



Version ii
Tl2Sn2Te | PBE | relaxed

Output
mass density = 8.073 Mg/m³

```
10
Lattice="-1.018 1.723 7.915 -1.870 -7.812 1.460 4.610 -0.954 0.801" Properties=species:S:1:pos:R:3 pbc="T T T"
Tl 0.872 -5.433 2.747
Tl 0.073 -5.783 6.931
Tl 0.850 -1.610 7.429
Tl 1.649 -1.260 3.245
Te 0.000 0.000 0.000
Te -1.444 -3.045 4.688
Sn -1.993 -6.137 4.165
Sn -2.067 -3.457 7.783
Sn -0.895 0.048 5.210
Sn -0.821 -2.632 1.592
```



Version iii
Tl2Sn2Te | PBE | relaxed

Output
mass density = 7.873 Mg/m³

```
5
Lattice="4.213 0.000 0.000 0.000 4.213 0.000 2.107 2.107 9.193" Properties=species:S:1:pos:R:3 pbc="T T T"
Tl 2.107 2.107 1.691
Tl 4.213 4.213 7.502
Te 0.000 0.000 0.000
Sn 4.213 2.107 4.596
Sn 2.107 4.213 4.596
```



Going by the energies, version ii is most stable and the next is 22 meV/atom up.



Version i
TlSnTe | PBE | relaxed

Output
mass density = 7.936 Mg/m³

```
3
Lattice="-2.643 -0.619 2.867 2.816 -1.615 2.247 1.170 6.554 -0.224" Properties=species:S:1:pos:R:3 pbc="T T T"
Tl 1.334 4.281 4.873
Te 0.571 0.977 3.456
Sn 0.782 3.383 1.451
```



Version ii
TlSnTe | PBE | relaxed

Output
mass density = 7.517 Mg/m³

```
3
Lattice="-0.797 1.703 3.613 3.557 -3.210 2.297 1.519 4.727 -1.892" Properties=species:S:1:pos:R:3 pbc="T T T"
Tl 2.346 0.571 3.310
Te 2.066 2.363 0.103
Sn -0.133 0.285 0.605
```



Going by the energies, version i is most stable and the next is 81 meV/atom up.